(1)
A relaxed structure of CaPmAlPd. Source: the Alexandria database, functional PBE.

```
data_CaPmAlPd
_chemical_formula_sum 'Ca4 Pm4 Al4 Pd4'
_cell_length_a 7.2854
_cell_length_b 7.2854
_cell_length_c 7.2854
_cell_angle_alpha 90.00
_cell_angle_beta 90.00
_cell_angle_gamma 90.00
_space_group_name_H-M_alt 'F -4 3 m'
_space_group_IT_number 216
_space_group_name_Hall 'F -4 2 3'
loop_
_atom_site_label
_atom_site_fract_x
_atom_site_fract_y
_atom_site_fract_z
Ca1 0.0000 0.0000 0.0000
Pm1 0.0000 0.0000 0.5000
Al1 0.2500 0.2500 0.7500
Pd1 0.2500 0.2500 0.2500
```

Total energy: -70.03 eV for the cell shown
Theoretical density: 5471 kg/m3

***

(2)
A relaxed structure of CaPrAlPd. Source: the Alexandria database, functional PBE.

```
data_CaPrAlPd
_chemical_formula_sum 'Ca4 Pr4 Al4 Pd4'
_cell_length_a 7.3449
_cell_length_b 7.3449
_cell_length_c 7.3449
_cell_angle_alpha 90.00
_cell_angle_beta 90.00
_cell_angle_gamma 90.00
_space_group_name_H-M_alt 'F -4 3 m'
_space_group_IT_number 216
_space_group_name_Hall 'F -4 2 3'
loop_
_atom_site_label
_atom_site_fract_x
_atom_site_fract_y
_atom_site_fract_z
Ca1 0.0000 0.0000 0.0000
Pr1 0.0000 0.0000 0.5000
Al1 0.2500 0.2500 0.7500
Pd1 0.2500 0.2500 0.2500
```

Total energy: -69.90 eV for the cell shown
Theoretical density: 5270 kg/m3

***

(3)
A relaxed structure of CaPr2Al2Pd5. Source: the Alexandria database, functional PBE.

```
data_CaPr2Al2Pd5
_chemical_formula_sum 'Ca2 Pr4 Al4 Pd10'
_cell_length_a 10.6419
_cell_length_b 10.6419
_cell_length_c 3.6416
_cell_angle_alpha 90.00
_cell_angle_beta 90.00
_cell_angle_gamma 90.00
_space_group_name_H-M_alt 'P 4/m b m'
_space_group_IT_number 127
_space_group_name_Hall '-P 4 2ab'
loop_
_atom_site_label
_atom_site_fract_x
_atom_site_fract_y
_atom_site_fract_z
Ca1 0.0000 0.0000 0.0000
Pr1 0.1784 0.3216 0.0000
Al1 0.1184 0.6184 0.0000
Pd1 0.0000 0.5000 0.5000
Pd2 0.0658 0.7747 0.5000
```

Total energy: -104.89 eV for the cell shown
Theoretical density: 7311 kg/m3

***

(4)
A relaxed structure of Ca2Al4Pd3Pt. Source: the Alexandria database, functional PBE.

```
data_Ca2Al4Pd3Pt
_chemical_formula_sum 'Ca2 Al4 Pd3 Pt1'
_cell_length_a 4.3541
_cell_length_b 4.3541
_cell_length_c 10.1237
_cell_angle_alpha 90.00
_cell_angle_beta 90.00
_cell_angle_gamma 90.00
_space_group_name_H-M_alt 'P -4 m 2'
_space_group_IT_number 115
loop_
_space_group_symop_operation_xyz
'x,y,z'
'y,-x,-z'
'-x,-y,z'
'-y,x,-z'
'-x,y,z'
'-y,-x,-z'
'x,-y,z'
'y,x,-z'
loop_
_atom_site_label
_atom_site_fract_x
_atom_site_fract_y
_atom_site_fract_z
Ca1 0.0000 0.5000 0.2431
Al1 0.0000 0.0000 0.5000
Al2 0.0000 0.5000 0.8773
Al3 0.5000 0.5000 0.5000
Pd1 0.0000 0.0000 0.0000
Pd2 0.0000 0.5000 0.6312
Pt1 0.5000 0.5000 0.0000
```

Total energy: -49.04 eV for the cell shown
Theoretical density: 6077 kg/m3

***

- The highest theoretical density belongs to which entry?
  CaPr2Al2Pd5

***

- The lowest theoretical density belongs to which entry?
  CaPrAlPd